No. 1
! ThPd6, relaxed, DFT PBE; values from VASP
&SYSTEM
  ibrav = 0, nat = 7, ntyp = 2
/
ATOMIC_SPECIES
Th 232.04 Th.upf
Pd 106.42 Pd.upf
CELL_PARAMETERS angstrom
-3.471 3.471 3.471
3.471 -3.471 3.471
3.471 3.471 -3.471
ATOMIC_POSITIONS crystal
Th 0.000 0.000 0.000
Pd 0.250 0.500 0.750
Pd 0.250 0.750 0.500
Pd 0.500 0.250 0.750
Pd 0.500 0.750 0.250
Pd 0.750 0.250 0.500
Pd 0.750 0.500 0.250
! * symmetry: Im-3m (229)
! * Fermi-level density of states: 11.63 states/eV/cell
! * DFT formation energy: 0.59 eV/atom


No. 2
! ThPd4, relaxed, DFT PBE; values from VASP
&SYSTEM
  ibrav = 0, nat = 10, ntyp = 2
/
ATOMIC_SPECIES
Th 232.04 Th.upf
Pd 106.42 Pd.upf
CELL_PARAMETERS angstrom
-2.181 2.934 7.120
2.181 -2.934 7.120
2.181 2.934 -7.120
ATOMIC_POSITIONS crystal
Th 0.360 0.110 0.250
Th 0.640 0.890 0.750
Pd 0.000 0.500 0.500
Pd 0.145 0.895 0.250
Pd 0.179 0.694 0.485
Pd 0.290 0.306 0.985
Pd 0.500 0.500 0.000
Pd 0.710 0.694 0.015
Pd 0.821 0.306 0.515
Pd 0.855 0.105 0.750
! * symmetry: Imma (74)
! * Fermi-level density of states: 2.25 states/eV/cell
! * DFT formation energy: -0.79 eV/atom


No. 3
! Th2Pd13, relaxed, DFT PBE; values from VASP
&SYSTEM
  ibrav = 0, nat = 15, ntyp = 2
/
ATOMIC_SPECIES
Th 232.04 Th.upf
Pd 106.42 Pd.upf
CELL_PARAMETERS angstrom
3.700 2.136 6.803
-3.700 2.136 6.803
0.000 -4.272 6.803
ATOMIC_POSITIONS crystal
Th 0.247 0.247 0.247
Th 0.753 0.753 0.753
Pd 0.000 0.000 0.000
Pd 0.018 0.018 0.644
Pd 0.018 0.644 0.018
Pd 0.239 0.239 0.612
Pd 0.239 0.612 0.239
Pd 0.356 0.982 0.982
Pd 0.388 0.761 0.761
Pd 0.612 0.239 0.239
Pd 0.644 0.018 0.018
Pd 0.761 0.388 0.761
Pd 0.761 0.761 0.388
Pd 0.982 0.356 0.982
Pd 0.982 0.982 0.356
! * symmetry: R-3m (166)
! * Fermi-level density of states: 10.18 states/eV/cell
! * DFT formation energy: -0.14 eV/atom
! * offset from the most stable computed form: 21.9 kJ/mol of atoms


No. 4
! ThPd, relaxed, DFT PBE; values from VASP
&SYSTEM
  ibrav = 0, nat = 8, ntyp = 2
/
ATOMIC_SPECIES
Th 232.04 Th.upf
Pd 106.42 Pd.upf
CELL_PARAMETERS angstrom
7.290 0.000 0.000
0.000 4.613 0.000
0.000 0.000 5.855
ATOMIC_POSITIONS crystal
Th 0.180 0.250 0.139
Th 0.320 0.750 0.639
Th 0.680 0.250 0.361
Th 0.820 0.750 0.861
Pd 0.046 0.250 0.649
Pd 0.454 0.750 0.149
Pd 0.546 0.250 0.851
Pd 0.954 0.750 0.351
! * symmetry: Pnma (62)
! * Fermi-level density of states: 7.98 states/eV/cell
! * DFT formation energy: -0.75 eV/atom


No. 5
! ThPd4, relaxed, DFT PBE; values from VASP
&SYSTEM
  ibrav = 0, nat = 5, ntyp = 2
/
ATOMIC_SPECIES
Th 232.04 Th.upf
Pd 106.42 Pd.upf
CELL_PARAMETERS angstrom
5.123 0.000 0.000
0.000 5.123 0.000
0.000 0.000 5.123
ATOMIC_POSITIONS crystal
Th 0.000 0.000 0.000
Pd 0.000 0.000 0.500
Pd 0.000 0.500 0.000
Pd 0.500 0.000 0.000
Pd 0.500 0.500 0.500
! * symmetry: Pm-3m (221)
! * Fermi-level density of states: 4.01 states/eV/cell
! * DFT formation energy: 0.74 eV/atom


No. 6
! ThPd7, relaxed, DFT PBE; values from VASP
&SYSTEM
  ibrav = 0, nat = 8, ntyp = 2
/
ATOMIC_SPECIES
Th 232.04 Th.upf
Pd 106.42 Pd.upf
CELL_PARAMETERS angstrom
-2.080 2.080 7.908
2.080 -2.080 7.908
2.080 2.080 -7.908
ATOMIC_POSITIONS crystal
Th 0.000 0.000 0.000
Pd 0.130 0.630 0.500
Pd 0.251 0.251 0.000
Pd 0.370 0.870 0.500
Pd 0.500 0.500 0.000
Pd 0.630 0.130 0.500
Pd 0.749 0.749 0.000
Pd 0.870 0.370 0.500
! * symmetry: I4/mmm (139)
! * Fermi-level density of states: 5.28 states/eV/cell
! * DFT formation energy: -0.51 eV/atom


No. 7
! ThPd3, relaxed, DFT PBE; values from VASP
&SYSTEM
  ibrav = 0, nat = 4, ntyp = 2
/
ATOMIC_SPECIES
Th 232.04 Th.upf
Pd 106.42 Pd.upf
CELL_PARAMETERS angstrom
0.000 3.391 3.391
3.391 0.000 3.391
3.391 3.391 0.000
ATOMIC_POSITIONS crystal
Th 0.000 0.000 0.000
Pd 0.250 0.250 0.250
Pd 0.500 0.500 0.500
Pd 0.750 0.750 0.750
! * symmetry: Fm-3m (225)
! * Fermi-level density of states: 3.28 states/eV/cell
! * DFT formation energy: -0.69 eV/atom


No. 8
! ThPd3, relaxed, DFT PBE; values from VASP
&SYSTEM
  ibrav = 0, nat = 16, ntyp = 2
/
ATOMIC_SPECIES
Th 232.04 Th.upf
Pd 106.42 Pd.upf
CELL_PARAMETERS angstrom
5.924 0.000 0.000
-2.962 5.130 0.000
0.000 0.000 9.930
ATOMIC_POSITIONS crystal
Th 0.000 0.000 0.000
Th 0.000 0.000 0.500
Th 0.333 0.667 0.250
Th 0.667 0.333 0.750
Pd 0.000 0.500 0.000
Pd 0.000 0.500 0.500
Pd 0.174 0.347 0.750
Pd 0.174 0.826 0.750
Pd 0.347 0.174 0.250
Pd 0.500 0.000 0.000
Pd 0.500 0.000 0.500
Pd 0.500 0.500 0.000
Pd 0.500 0.500 0.500
Pd 0.653 0.826 0.750
Pd 0.826 0.174 0.250
Pd 0.826 0.653 0.250
! * symmetry: P6_3/mmc (194)
! * Fermi-level density of states: 3.46 states/eV/cell
! * DFT formation energy: -0.94 eV/atom